A relaxed structure of SrY6. Source: Alexandria, functional GGA-PBE.

abc: 7.194 7.194 7.194
angles: 109.47 109.47 109.47
Positions (direct):
Y: 0.250 0.500 0.750
Y: 0.750 0.250 0.500
Y: 0.500 0.750 0.250
Sr: 0.000 0.000 0.000
Y: 0.250 0.750 0.500
Y: 0.500 0.250 0.750
Y: 0.750 0.500 0.250

Properties
**Uncorrected energy**: -31.2 eV per formula unit
**Energy of formation from the pure elements**: 1325 meV/atom